(1)
! HfMgSbTe2 (GGA-PBE, optimized geometry); values from VASP
! Size of the total moment (μB/f.u.): 0.0
! Formation energy without anion corrections (eV/atom): 0.605
! D(E_F) (states/eV per atom): 1.121
! Calculated density (g/cm3): 6.5
&SYSTEM
  ibrav = 0, nat = 5, ntyp = 4
/
ATOMIC_SPECIES
Sb 121.76 Sb.upf
Mg 24.30 Mg.upf
Te 127.60 Te.upf
Hf 178.49 Hf.upf
CELL_PARAMETERS angstrom
5.3406 0.0000 0.0000
0.0000 5.3406 0.0000
0.0000 0.0000 5.2072
ATOMIC_POSITIONS angstrom
Sb 0.0000 0.0000 2.6036
Mg 0.0000 0.0000 0.0000
Te 0.0000 2.6703 0.0000
Te 2.6703 0.0000 0.0000
Hf 2.6703 2.6703 2.6036

---

(2)
! KCaHgCl5 (GGA-PBE, optimized geometry); values from VASP
! Size of the total moment (μB/f.u.): 0.0
! Formation energy without anion corrections (eV/atom): -1.615
! D(E_F) (states/eV per atom): 0.000
! Calculated density (g/cm3): 2.9
&SYSTEM
  ibrav = 0, nat = 16, ntyp = 4
/
ATOMIC_SPECIES
K 39.10 K.upf
Ca 40.08 Ca.upf
Hg 200.59 Hg.upf
Cl 35.45 Cl.upf
CELL_PARAMETERS angstrom
7.6568 -0.0026 -0.0419
-2.2376 7.3225 -0.0419
-2.2953 -3.1004 9.2707
ATOMIC_POSITIONS angstrom
K 0.5076 4.0902 2.2758
K 2.6162 0.1293 6.9111
Ca -1.1476 -1.5502 4.6354
Ca 0.0000 0.0000 0.0000
Hg 3.9361 1.5520 2.2758
Hg -0.8122 2.6675 6.9111
Cl -2.0281 5.9674 2.2758
Cl 5.1519 -1.7479 6.9111
Cl 6.0163 2.0485 0.9230
Cl -2.8925 2.1710 8.2639
Cl 4.0685 -0.5826 3.6285
Cl -0.9447 4.8021 5.5583
Cl 3.1838 3.2499 4.0377
Cl -0.0600 0.9696 5.1492
Cl 2.0925 1.7758 0.5138
Cl 1.0313 2.4437 8.6730